[1]
Material: K2NiSb2
Method: DFT, PBE
State: relaxed

The space group is Immm (No. 71) and the conventional cell measures 4.242, 6.877 and 11.082 Å, with angles of 90.00, 90.00 and 90.00 degrees. Symmetry generates all atoms from K at (0.000, 0.000, 0.198), Ni at (0.000, 0.500, 0.000) and Sb at (0.000, 0.211, 0.500).

---

[2]
Material: KNiSb2Se
Method: DFT, PBE
State: relaxed

The space group is P4/mmm (No. 123) and the conventional cell measures 5.837, 5.837 and 4.334 Å, with angles of 90.00, 90.00 and 90.00 degrees. Symmetry generates all atoms from K at (0.000, 0.000, 0.000), Ni at (0.500, 0.500, 0.000), Sb at (0.000, 0.500, 0.500) and Se at (0.500, 0.500, 0.500).

---

[3]
Material: KNiSbSe3
Method: DFT, PBE
State: relaxed

The space group is P2_1/m (No. 11) and the conventional cell measures 9.374, 4.097 and 9.441 Å, with angles of 90.00, 101.95 and 90.00 degrees. Symmetry generates all atoms from K at (0.215, 0.250, 0.158), Ni at (0.421, 0.750, 0.927), Sb at (0.144, 0.250, 0.650), Se at (0.143, 0.750, 0.418), Se at (0.156, 0.750, 0.859) and Se at (0.484, 0.250, 0.826).

---

[4]
Material: KNiSbTe2
Method: DFT, PBE
State: relaxed

Its distance to the lowest polymorph of the same formula is 1.671 eV per atom.

The space group is P4/mmm (No. 123) and the conventional cell measures 5.942, 5.942 and 5.821 Å, with angles of 90.00, 90.00 and 90.00 degrees. Symmetry generates all atoms from K at (0.000, 0.000, 0.000), Ni at (0.500, 0.500, 0.500), Sb at (0.000, 0.000, 0.500) and Te at (0.000, 0.500, 0.000).

---

Number 1: uncorrected formation energy -284 meV/atom, Fermi-level density of states 8.4 states/eV/cell, VASP energy -35.28 eV per cell. Number 2: uncorrected formation energy 269 meV/atom, Fermi-level density of states 3.3 states/eV/cell, VASP energy -17.26 eV per cell. Number 3: uncorrected formation energy -513 meV/atom, Fermi-level density of states 4.3 states/eV/cell, VASP energy -49.06 eV per cell. Number 4: uncorrected formation energy 1527 meV/atom, Fermi-level density of states 14.8 states/eV/cell, VASP energy -9.65 eV per cell.